Computed, not measured: a relaxed LuPa3N crystal at the GGA-PBE level of DFT.

Cell and atoms, written as CIF:
```
data_LuPa3N
_chemical_formula_sum 'Lu1 Pa3 N1'
_space_group_name_H-M_alt 'P 1'
_space_group_IT_number 1
_space_group_name_Hall 'P 1'
_cell_length_a 4.8162
_cell_length_b 4.8162
_cell_length_c 4.8162
_cell_angle_alpha 90.00
_cell_angle_beta 90.00
_cell_angle_gamma 90.00
loop_
_atom_site_label
_atom_site_type_symbol
_atom_site_fract_x
_atom_site_fract_y
_atom_site_fract_z
Lu1 Lu 0.0000 0.0000 0.0000
Pa1 Pa 0.0000 0.5000 0.5000
Pa2 Pa 0.5000 0.0000 0.5000
Pa3 Pa 0.5000 0.5000 0.0000
N1 N 0.5000 0.5000 0.5000
```

Results
Symmetry ... Pm-3m, No. 221
Uncorrected formation energy ... -510 meV per atom